MnZn2Sb | GGA-PBE | optimized geometry

a b c (Å): 5.095 3.006 4.689
angles (deg): 94.65 90.00 90.00
Last column: magnetic moment on the atom in μB.
Atoms (fractional coordinates):
1 Zn 0.000 0.522 0.479  -0.03
2 Zn 0.000 0.978 0.021  -0.03
3 Sb 0.500 0.750 0.750  -0.04
4 Mn 0.500 0.250 0.250  3.23

Calculated values
For the uncorrected formation energy, the calculation gives 221 meV/atom. The magnetization is 3.21 μB per formula unit. Its symmetry is P2/m (10). As for the total energy: -3.739 eV per atom.